Entry 1:
First-principles (GGA+U) data for crystalline Pm2CoF at its relaxed geometry, as listed in Alexandria.

abc: 4.0055 4.0055 7.8534
angles: 75.23 75.23 60.00
Fractional positions:
F: 0.0000 0.0000 0.0000
Co: 0.5000 0.5000 0.5000
Pm: 0.1020 0.1020 0.6941
Pm: 0.8980 0.8980 0.3059

Output
N(E_F) = 2.0 states/eV/cell
space group = R-3m (166)
ρ = 5.859 Mg/m³


Entry 2:
First-principles (GGA+U) data for crystalline PmCo2F8 at its relaxed geometry, as listed in Alexandria.

abc: 5.9533 5.9533 6.7442
angles: 116.19 116.19 90.00
Last column: magnetic moment on the atom in μB.
Fractional positions:
F: 0.7453 0.3258 0.2560  0.10
F: 0.0698 0.4893 0.7440  0.10
F: 0.6742 0.2547 0.7440  0.10
F: 0.2547 0.0698 0.7440  0.10
F: 0.5107 0.9302 0.2560  0.10
F: 0.9302 0.7453 0.2560  0.10
F: 0.3258 0.5107 0.2560  0.10
F: 0.4893 0.6742 0.7440  0.10
Co: 0.7500 0.2500 0.5000  3.02
Co: 0.2500 0.7500 0.5000  3.02
Pm: 0.5000 0.5000 0.0000  0.02

Output
N(E_F) = 7.0 states/eV/cell
space group = I422 (97)
ρ = 3.689 Mg/m³


Entry 3:
First-principles (GGA+U) data for crystalline PmCoF6 at its relaxed geometry, as listed in Alexandria.

abc: 5.4804 4.7724 5.1428
angles: 83.97 79.46 54.96
Last column: magnetic moment on the atom in μB.
Fractional positions:
Pm: 0.0000 0.0000 0.0000  0.01
Co: 0.5000 0.0000 0.5000  3.26
F: 0.2264 0.0000 0.3321  0.13
F: 0.1642 0.3248 0.7649  0.09
F: 0.7736 0.0000 0.6679  0.13
F: 0.5109 0.3248 0.2351  0.09
F: 0.8358 0.6752 0.2351  0.09
F: 0.4891 0.6752 0.7649  0.09

Output
N(E_F) = 0.0 states/eV/cell
space group = C2/m (12)
ρ = 4.876 Mg/m³


| no. | total energy (eV/atom) | M_tot (μB per cell) |
| --- | --- | --- |
| 1 | -5.16 | 0.00 |
| 2 | -5.36 | 7.00 |
| 3 | -5.56 | 3.99 |